# SmGdDy2Al2, relaxed, DFT GGA-PBE
data_SmGdDy2Al2
_chemical_formula_sum 'Sm1 Gd1 Dy2 Al2'
_space_group_name_H-M_alt 'P 1'
_space_group_IT_number 1
_space_group_name_Hall 'P 1'
_cell_length_a 5.2664
_cell_length_b 5.2664
_cell_length_c 6.6927
_cell_angle_alpha 90.00
_cell_angle_beta 90.00
_cell_angle_gamma 120.00
loop_
_atom_site_label
_atom_site_type_symbol
_atom_site_fract_x
_atom_site_fract_y
_atom_site_fract_z
Sm1 Sm 0.0000 0.0000 0.0000
Gd1 Gd 0.3333 0.6667 0.5000
Dy1 Dy 0.6667 0.3333 0.2511
Dy2 Dy 0.6667 0.3333 0.7489
Al1 Al 0.0000 0.0000 0.5000
Al2 Al 0.3333 0.6667 0.0000
# Density ... 7.092 g/cm3
# Space-group type ... P-6m2, No. 187
# Uncorrected energy ... -4.608 eV/atom
# M_tot ... 0.046 μB/f.u.